[1]
VASP calculation (GGA+U) on a relaxed structure of CaMn2O4.

Cell and atoms, written as extended XYZ:
```
14
Lattice="-3.435 -3.641 3.882 -5.403 2.229 -2.444 4.470 -2.605 -3.655" Properties=species:S:1:pos:R:3 pbc="T T T"
O -6.637 -1.287 1.094
O -4.590 0.812 -0.931
Mn -0.693 -1.714 0.212
Mn -2.701 1.114 -1.222
O -1.609 -3.690 0.474
Ca -0.466 -0.188 -3.049
O 0.351 -1.603 -1.505
O 2.270 -2.730 -3.311
O -2.758 -0.328 -2.690
Mn 2.235 -1.303 -1.828
O 0.223 -4.829 -1.286
Ca -4.419 -0.706 0.719
O -4.718 -2.415 -0.712
Mn -3.674 -2.304 -2.428
```

Distance to the lowest polymorph of the same formula: 165 meV per atom
ρ: 4004 kg/m3
Symmetry: Imma, No. 74

[2]
VASP calculation (GGA+U) on a relaxed structure of CaMn2O4.

Cell and atoms, written as extended XYZ:
```
7
Lattice="3.319 -0.001 0.007 0.667 5.057 0.004 1.008 2.145 5.452" Properties=species:S:1:pos:R:3 pbc="T T T"
O 3.172 1.612 1.186
O 1.669 5.673 4.374
Mn 3.834 4.989 0.230
Mn 3.152 4.741 5.239
O 1.998 4.058 1.088
O 3.148 3.060 4.279
Ca 1.500 2.337 2.729
```

Distance to the lowest polymorph of the same formula: 49 meV per atom
ρ: 3884 kg/m3
Symmetry: P-1, No. 2

[3]
VASP calculation (GGA+U) on a relaxed structure of CaMn2O4.

Cell and atoms, written as extended XYZ:
```
28
Lattice="5.881 0.000 0.000 0.000 5.718 -0.176 0.000 0.067 10.783" Properties=species:S:1:pos:R:3 pbc="T T T"
O 5.529 0.724 8.269
O 1.301 3.584 10.336
O 1.213 0.748 10.399
O 2.588 5.095 7.730
O 5.481 3.537 8.292
Ca 2.418 1.866 1.098
Mn 0.324 2.135 9.422
Mn 2.617 2.101 4.030
O 1.727 0.714 5.008
O 2.541 2.282 7.707
Mn 3.265 3.684 6.577
O 4.580 2.201 0.271
O 0.352 5.061 2.338
Mn 5.557 3.650 1.185
O 4.668 5.037 0.208
O 0.400 2.248 2.315
O 4.242 2.235 5.662
O 1.639 3.550 4.945
O 3.293 0.690 2.877
Mn 5.337 0.749 1.496
Mn 3.485 0.782 6.887
O 4.154 5.071 5.600
Ca 5.359 3.886 4.117
Mn 2.396 5.003 3.720
Mn 0.545 5.036 9.111
Ca 3.463 3.919 9.509
Ca 0.523 1.899 6.490
O 3.341 3.503 2.900
```

Distance to the lowest polymorph of the same formula: 80 meV per atom
ρ: 3918 kg/m3
Symmetry: P2_1/c, No. 14

[4]
VASP calculation (GGA+U) on a relaxed structure of Ca4Mn2O7.

Cell and atoms, written as extended XYZ:
```
26
Lattice="5.499 0.000 0.000 2.750 6.133 0.000 0.000 0.000 10.085" Properties=species:S:1:pos:R:3 pbc="T T T"
Ca 3.858 1.859 3.775
Ca 1.109 1.859 1.267
O 6.939 4.152 6.251
Ca 7.139 4.274 8.818
Ca 4.390 4.274 6.310
Mn 4.019 0.000 1.257
O 2.749 0.000 5.042
Ca 1.641 1.859 6.310
Mn 1.269 0.000 3.786
O 6.809 4.153 1.209
O 0.000 0.000 0.000
Ca 3.858 4.274 1.267
Ca 4.390 1.859 8.818
Ca 6.608 4.274 3.775
O 4.059 4.153 3.833
O 5.967 6.133 8.113
O 5.030 0.000 3.071
O 3.218 6.133 7.014
O 1.440 1.981 8.876
O 1.310 1.981 3.833
O 2.281 0.000 1.972
O 4.059 1.981 1.209
O 4.189 1.981 6.251
Mn 6.979 6.133 6.299
O 4.189 4.152 8.876
Mn 4.230 6.133 8.828
```

ρ: 3732 kg/m3
Symmetry: Cmce, No. 64
Total DFT energy (no corrections): -6.8616 eV/atom

[5]
VASP calculation (GGA+U) on a relaxed structure of Ca2Mn9O13.

Cell and atoms, written as extended XYZ:
```
24
Lattice="5.360 -0.004 0.064 4.451 2.986 0.064 2.753 0.837 16.860" Properties=species:S:1:pos:R:3 pbc="T T T"
O 2.703 0.822 9.192
Ca 8.208 2.495 4.096
O 7.063 2.147 6.468
O 1.713 0.521 4.015
Mn 9.005 2.737 9.897
Mn 9.014 2.740 16.272
Mn 11.694 3.555 14.815
O 9.860 2.997 7.796
O 7.082 2.152 1.205
Mn 6.282 1.909 8.494
Mn 10.724 3.260 5.844
O 10.850 3.298 12.974
O 7.941 2.414 11.655
O 5.482 1.666 15.784
Mn 0.869 0.264 2.173
O 8.261 2.511 14.563
O 4.302 1.308 2.425
O 5.500 1.672 10.521
Ca 4.355 1.324 12.893
Mn 3.558 1.081 7.092
Mn 3.550 1.079 0.716
O 4.622 1.405 5.333
Mn 1.839 0.559 11.145
O 0.000 0.000 0.000
```

ρ: 4821 kg/m3
Symmetry: C2/m, No. 12
Total DFT energy (no corrections): -7.3248 eV/atom

[6]
VASP calculation (GGA+U) on a relaxed structure of Ca4Mn3O10.

Cell and atoms, written as extended XYZ:
```
68
Lattice="-0.483 3.231 -4.224 -5.043 -1.760 -0.770 -9.305 19.623 16.073" Properties=species:S:1:pos:R:3 pbc="T T T"
O -5.734 10.169 6.449
O -7.269 13.342 9.076
Ca -9.365 16.229 6.773
O -3.297 0.712 0.400
O -11.833 17.697 10.098
O -10.200 13.254 6.526
O -0.943 2.708 -0.674
Mn -0.241 1.615 -2.112
O -7.111 6.687 4.525
Ca -8.889 18.202 14.886
Ca -5.774 12.739 6.977
Ca -9.056 8.355 4.102
Mn -7.415 10.547 5.540
O -4.534 11.389 3.001
O -13.293 18.667 14.407
O -5.361 6.246 2.387
Mn -10.520 15.976 13.422
O -9.950 14.755 12.051
O -6.889 9.393 4.075
O -10.814 19.832 14.420
O -9.097 10.925 4.630
Ca -8.529 13.424 4.545
Ca -5.466 4.865 4.306
Mn -6.452 15.806 6.078
O -9.712 17.502 12.524
O -7.214 4.199 0.289
Ca -2.579 7.161 -0.938
Mn -6.099 7.783 3.275
O -9.469 14.848 8.692
O -11.533 20.382 10.679
Mn -4.310 5.118 -2.343
O -8.212 9.005 6.436
O -13.888 18.386 11.753
O -6.618 12.089 4.644
Ca -11.644 18.887 12.454
O -9.752 12.201 9.031
O -12.192 16.349 12.496
O -4.880 6.338 -0.972
Ca -5.941 2.892 -3.807
O -4.016 1.262 -3.341
O -1.538 2.427 -3.328
O -5.480 2.256 0.937
Mn -6.590 2.623 -0.616
Mn -8.240 18.471 11.695
Ca -3.186 2.207 -1.375
O -7.941 11.701 7.004
O -7.617 16.894 10.790
Ca -3.180 7.323 2.629
O -10.296 9.705 8.078
O -7.136 16.987 7.431
O -7.719 14.407 6.555
Ca -6.301 7.670 6.534
O -5.079 8.893 2.048
O -2.997 3.397 0.981
O -5.119 3.592 -1.445
Ca -11.650 13.771 8.450
O -7.695 4.107 3.648
Mn -8.732 13.311 7.804
Ca -4.865 4.704 0.739
O -2.638 4.745 -1.416
O -7.561 7.752 2.003
Mn -4.653 9.812 8.037
Ca -9.966 16.390 10.340
Mn -2.521 -0.880 -0.385
O -4.630 7.840 4.553
Ca -12.251 13.932 12.017
Mn -8.379 5.288 5.002
O -9.351 18.838 10.142
```

ρ: 4139 kg/m3
Symmetry: Pbca, No. 61
Total DFT energy (no corrections): -6.8940 eV/atom

[7]
VASP calculation (GGA+U) on a relaxed structure of CaMn2O.

Cell and atoms, written as extended XYZ:
```
8
Lattice="-2.620 -5.822 -1.374 3.510 -0.281 -5.501 3.869 -5.133 -1.146" Properties=species:S:1:pos:R:3 pbc="T T T"
Mn 2.804 -9.120 -5.502
O 3.912 -4.233 -5.042
Mn 0.423 -3.504 -1.490
Ca 0.847 -7.004 -2.979
O 0.445 -3.052 -3.437
Mn 2.179 -3.641 -4.239
Mn 4.112 -6.209 -4.811
Ca 0.000 0.000 0.000
```

ρ: 2799 kg/m3
Symmetry: Fd-3m, No. 227
Total DFT energy (no corrections): -5.8822 eV/atom

[8]
VASP calculation (GGA+U) on a relaxed structure of Ca3MnO4.

Cell and atoms, written as extended XYZ:
```
8
Lattice="3.361 0.000 0.000 -1.681 5.555 0.008 0.000 -0.993 5.751" Properties=species:S:1:pos:R:3 pbc="T T T"
O 1.681 3.539 3.623
Ca 0.000 2.048 4.339
O 0.000 1.024 2.136
O 0.000 4.110 0.689
Ca 1.681 -0.496 2.875
Mn 0.000 0.000 0.000
Ca 1.681 2.514 1.420
O 1.681 0.452 5.069
```

Distance to the lowest polymorph of the same formula: 0 meV per atom
ρ: 3697 kg/m3
Symmetry: C2/m, No. 12

Question: ρ of number 8 (Ca3MnO4)?
Answer: 3697 kg/m3

Question: Look up the ρ of the sixth one.
Answer: 4139 kg/m3